(1)
Computed, not measured: an optimized crystal structure of Nd6Ti4Al43 at the PBEsol level of DFT.

CIF file:
```
data_Nd6Ti4Al43
_chemical_formula_sum 'Nd12 Ti8 Al86'
_cell_length_a 11.0569
_cell_length_b 11.0569
_cell_length_c 17.9430
_cell_angle_alpha 90.00
_cell_angle_beta 90.00
_cell_angle_gamma 120.00
_symmetry_space_group_name_H-M 'P 63/m c m'
_symmetry_Int_Tables_number 193
_symmetry_space_group_name_Hall '-P 6c 2'
loop_
_atom_site_label
_atom_site_type_symbol
_atom_site_fract_x
_atom_site_fract_y
_atom_site_fract_z
Nd1 Nd 0.0000 0.4711 0.0958
Ti1 Ti 0.0000 0.0000 0.0000
Ti2 Ti 0.0000 0.2712 0.2500
Al1 Al 0.0000 0.1459 0.7500
Al2 Al 0.0000 0.1553 0.1167
Al3 Al 0.0000 0.2503 0.5293
Al4 Al 0.1505 0.5530 0.2500
Al5 Al 0.1587 0.3922 0.6651
Al6 Al 0.2474 0.4948 0.0000
Al7 Al 0.3333 0.6667 0.1264
```

crystal system	hexagonal
calculated formation energy	-0.338	eV per atom
VASP energy	-4.8705	eV per atom

(2)
Computed, not measured: an optimized crystal structure of LiLaAs3 at the PBEsol level of DFT.

CIF file:
```
data_LiLaAs3
_chemical_formula_sum 'Li1 La1 As3'
_cell_length_a 5.5870
_cell_length_b 5.5870
_cell_length_c 5.5870
_cell_angle_alpha 90.00
_cell_angle_beta 90.00
_cell_angle_gamma 90.00
_symmetry_space_group_name_H-M 'P m -3 m'
_symmetry_Int_Tables_number 221
_symmetry_space_group_name_Hall '-P 4 2 3'
loop_
_atom_site_label
_atom_site_type_symbol
_atom_site_fract_x
_atom_site_fract_y
_atom_site_fract_z
Li1 Li 0.0000 0.0000 0.0000
La1 La 0.5000 0.5000 0.5000
As1 As 0.0000 0.5000 0.5000
```

crystal system	cubic
calculated formation energy	0.382	eV per atom
VASP energy	-4.1448	eV per atom

(3)
Computed, not measured: an optimized crystal structure of NaFeH4SO6F at the PBEsol level of DFT.

CIF file:
```
data_NaFeH4SO6F
_chemical_formula_sum 'Na2 Fe2 H8 S2 O12 F2'
_cell_length_a 5.6848
_cell_length_b 7.3563
_cell_length_c 7.1298
_cell_angle_alpha 90.00
_cell_angle_beta 113.29
_cell_angle_gamma 90.00
_symmetry_space_group_name_H-M 'P 1 21/m 1'
_symmetry_Int_Tables_number 11
loop_
_symmetry_equiv_pos_as_xyz
'x,y,z'
'-x,-y,-z'
'-x,y+1/2,-z'
'x,-y+1/2,z'
loop_
_atom_site_label
_atom_site_type_symbol
_atom_site_fract_x
_atom_site_fract_y
_atom_site_fract_z
Na1 Na 0.1175 0.2500 0.1918
Fe1 Fe 0.5000 0.0000 0.0000
H1 H 0.0705 0.0726 0.6878
H2 H 0.1949 0.5965 0.6157
S1 S 0.3447 0.7500 0.3062
O1 O 0.1532 0.7500 0.4080
O2 O 0.1661 0.5442 0.7335
O3 O 0.2871 0.5852 0.1731
O4 O 0.3949 0.2500 0.5389
F1 F 0.3735 0.2500 0.0201
```

crystal system	monoclinic
VASP energy	-5.7669	eV per atom

(4)
Computed, not measured: an optimized crystal structure of MgSb2TePb at the PBEsol level of DFT.

CIF file:
```
data_MgSb2TePb
_chemical_formula_sum 'Mg1 Sb2 Te1 Pb1'
_cell_length_a 5.6477
_cell_length_b 5.6477
_cell_length_c 5.8456
_cell_angle_alpha 90.00
_cell_angle_beta 90.00
_cell_angle_gamma 90.00
_symmetry_space_group_name_H-M 'P 4/m m m'
_symmetry_Int_Tables_number 123
_symmetry_space_group_name_Hall '-P 4 2'
loop_
_atom_site_label
_atom_site_type_symbol
_atom_site_fract_x
_atom_site_fract_y
_atom_site_fract_z
Mg1 Mg 0.0000 0.0000 0.0000
Sb1 Sb 0.0000 0.5000 0.5000
Te1 Te 0.5000 0.5000 0.0000
Pb1 Pb 0.5000 0.5000 0.5000
```

raw formation energy	0.77	eV per atom
crystal system	tetragonal
VASP energy	-2.9011	eV per atom